No. 1
Here is a geometry-optimized Sr2AlFe structure from Alexandria via LeMat-Bulk. Energies are from PBE-GGA.

Summary:
The value obtained for the total energy is -0.2412 Ry/atom. Its space group is No. 166. As for the size of the total moment: 2.6 μB per formula unit.

a = 10.063 Å, b = 10.063 Å, c = 10.063 Å
α = 21.87°, β = 21.87°, γ = 21.87°
Positions (direct):
Sr (0.245, 0.245, 0.245)
Sr (0.755, 0.755, 0.755)
Al (0.000, 0.000, 0.000)
Fe (0.500, 0.500, 0.500)



No. 2
Here is a geometry-optimized SrAl2Fe2 structure from Alexandria via LeMat-Bulk. Energies are from PBE-GGA.

Summary:
The value obtained for the total energy is -0.3732 Ry/atom. Its space group is No. 127. As for the size of the total moment: 3.2 μB per formula unit.

a = 7.773 Å, b = 7.773 Å, c = 2.762 Å
α = 90.00°, β = 90.00°, γ = 90.00°
Positions (direct):
Sr (0.000, 0.000, 0.000)
Sr (0.500, 0.500, 0.000)
Al (0.126, 0.374, 0.000)
Al (0.374, 0.874, 0.000)
Al (0.626, 0.126, 0.000)
Al (0.874, 0.626, 0.000)
Fe (0.158, 0.658, 0.500)
Fe (0.342, 0.158, 0.500)
Fe (0.658, 0.842, 0.500)
Fe (0.842, 0.342, 0.500)



No. 3
Here is a geometry-optimized Sr2AlFe structure from Alexandria via LeMat-Bulk. Energies are from PBE-GGA.

Summary:
The value obtained for the total energy is -0.2557 Ry/atom. Its space group is No. 123. As for the size of the total moment: 2.8 μB per formula unit.

a = 5.583 Å, b = 5.583 Å, c = 3.737 Å
α = 90.00°, β = 90.00°, γ = 90.00°
Positions (direct):
Sr (0.000, 0.500, 0.000)
Sr (0.500, 0.000, 0.000)
Al (0.000, 0.000, 0.500)
Fe (0.500, 0.500, 0.500)



No. 4
Here is a geometry-optimized Sr2AlFe structure from Alexandria via LeMat-Bulk. Energies are from PBE-GGA.

Summary:
The value obtained for the total energy is -0.2522 Ry/atom. Its space group is No. 119. As for the size of the total moment: 2.8 μB per formula unit.

a = 5.266 Å, b = 5.266 Å, c = 5.266 Å
α = 119.91°, β = 119.91°, γ = 90.16°
Positions (direct):
Sr (0.000, 0.000, 0.000)
Sr (0.750, 0.250, 0.500)
Al (0.500, 0.500, 0.000)
Fe (0.250, 0.750, 0.500)



No. 5
Here is a geometry-optimized Sr2TaAlFe structure from Alexandria via LeMat-Bulk. Energies are from PBE-GGA.

Summary:
The value obtained for the total energy is -0.3222 Ry/atom. Its space group is No. 123. As for the size of the total moment: 0.0 μB per formula unit.

a = 6.201 Å, b = 6.201 Å, c = 4.312 Å
α = 90.00°, β = 90.00°, γ = 90.00°
Positions (direct):
Sr (0.000, 0.500, 0.000)
Sr (0.500, 0.000, 0.000)
Ta (0.000, 0.000, 0.000)
Al (0.500, 0.500, 0.500)
Fe (0.000, 0.000, 0.500)



No. 6
Here is a geometry-optimized SrAl2FeTc structure from Alexandria via LeMat-Bulk. Energies are from PBE-GGA.

Summary:
The value obtained for the total energy is -0.2156 Ry/atom. Its space group is No. 123. As for the size of the total moment: 1.2 μB per formula unit.

a = 5.343 Å, b = 5.343 Å, c = 4.789 Å
α = 90.00°, β = 90.00°, γ = 90.00°
Positions (direct):
Sr (0.000, 0.000, 0.000)
Al (0.000, 0.500, 0.000)
Al (0.500, 0.000, 0.000)
Fe (0.500, 0.500, 0.500)
Tc (0.000, 0.000, 0.500)



No. 7
Here is a geometry-optimized SrYAl2Fe structure from Alexandria via LeMat-Bulk. Energies are from PBE-GGA.

Summary:
The value obtained for the total energy is -0.3616 Ry/atom. Its space group is No. 123. As for the size of the total moment: 0.0 μB per formula unit.

a = 4.826 Å, b = 4.826 Å, c = 4.976 Å
α = 90.00°, β = 90.00°, γ = 90.00°
Positions (direct):
Sr (0.000, 0.000, 0.000)
Y (0.500, 0.500, 0.000)
Al (0.000, 0.500, 0.500)
Al (0.500, 0.000, 0.500)
Fe (0.500, 0.500, 0.500)



No. 8
Here is a geometry-optimized SrAl2ZnFe structure from Alexandria via LeMat-Bulk. Energies are from PBE-GGA.

Summary:
The value obtained for the total energy is -0.2920 Ry/atom. Its space group is No. 123. As for the size of the total moment: 0.0 μB per formula unit.

a = 4.588 Å, b = 4.588 Å, c = 4.805 Å
α = 90.00°, β = 90.00°, γ = 90.00°
Positions (direct):
Sr (0.000, 0.000, 0.000)
Al (0.000, 0.500, 0.500)
Al (0.500, 0.000, 0.500)
Zn (0.500, 0.500, 0.000)
Fe (0.500, 0.500, 0.500)



No. 9
Here is a geometry-optimized TaAl2Fe structure from Alexandria via LeMat-Bulk. Energies are from PBE-GGA.

Summary:
The value obtained for the total energy is -0.4890 Ry/atom. Its space group is No. 122. As for the size of the total moment: 0.0 μB per formula unit.

a = 9.800 Å, b = 9.800 Å, c = 9.800 Å
α = 158.43°, β = 158.43°, γ = 30.69°
Positions (direct):
Ta (0.000, 0.000, 0.000)
Ta (0.750, 0.250, 0.500)
Al (0.130, 0.625, 0.005)
Al (0.375, 0.380, 0.505)
Al (0.620, 0.125, 0.995)
Al (0.875, 0.870, 0.495)
Fe (0.250, 0.750, 0.500)
Fe (0.500, 0.500, 0.000)



No. 10
Here is a geometry-optimized TaAl2Fe structure from Alexandria via LeMat-Bulk. Energies are from PBE-GGA.

Summary:
The value obtained for the total energy is -0.5223 Ry/atom. Its space group is No. 10. As for the size of the total moment: 1.6 μB per formula unit.

a = 2.793 Å, b = 4.132 Å, c = 5.302 Å
α = 90.00°, β = 103.05°, γ = 90.00°
Positions (direct):
Ta (0.000, 0.000, 0.000)
Al (0.343, 0.500, 0.735)
Al (0.657, 0.500, 0.265)
Fe (0.500, 0.000, 0.500)



No. 11
Here is a geometry-optimized TaAl2Fe structure from Alexandria via LeMat-Bulk. Energies are from PBE-GGA.

Summary:
The value obtained for the total energy is -0.5214 Ry/atom. Its space group is No. 216. As for the size of the total moment: 0.9 μB per formula unit.

a = 4.343 Å, b = 4.343 Å, c = 4.343 Å
α = 60.00°, β = 60.00°, γ = 60.00°
Positions (direct):
Ta (0.000, 0.000, 0.000)
Al (0.500, 0.500, 0.500)
Al (0.750, 0.750, 0.750)
Fe (0.250, 0.250, 0.250)



No. 12
Here is a geometry-optimized TaAl2Fe structure from Alexandria via LeMat-Bulk. Energies are from PBE-GGA.

Summary:
The value obtained for the total energy is -0.5197 Ry/atom. Its space group is No. 6. As for the size of the total moment: 2.0 μB per formula unit.

a = 2.776 Å, b = 4.383 Å, c = 4.989 Å
α = 90.00°, β = 95.34°, γ = 90.00°
Positions (direct):
Ta (0.000, 0.000, 0.000)
Al (0.516, 0.000, 0.512)
Al (0.564, 0.500, 0.219)
Fe (0.166, 0.500, 0.719)



No. 13
Here is a geometry-optimized TaAl2Fe structure from Alexandria via LeMat-Bulk. Energies are from PBE-GGA.

Summary:
The value obtained for the total energy is -0.5223 Ry/atom. Its space group is No. 119. As for the size of the total moment: 0.0 μB per formula unit.

a = 4.708 Å, b = 4.708 Å, c = 4.708 Å
α = 131.13°, β = 131.13°, γ = 71.61°
Positions (direct):
Ta (0.000, 0.000, 0.000)
Al (0.250, 0.750, 0.500)
Al (0.500, 0.500, 0.000)
Fe (0.750, 0.250, 0.500)



No. 14
Here is a geometry-optimized TaAl4Fe2 structure from Alexandria via LeMat-Bulk. Energies are from PBE-GGA.

Summary:
The value obtained for the total energy is -0.3987 Ry/atom. Its space group is No. 139. As for the size of the total moment: 4.7 μB per formula unit.

a = 7.072 Å, b = 7.072 Å, c = 7.072 Å
α = 139.55°, β = 139.55°, γ = 58.54°
Positions (direct):
Ta (0.000, 0.000, 0.000)
Al (0.000, 0.500, 0.500)
Al (0.210, 0.210, 0.000)
Al (0.500, 0.000, 0.500)
Al (0.790, 0.790, 0.000)
Fe (0.411, 0.411, 0.000)
Fe (0.589, 0.589, 0.000)



No. 15
Here is a geometry-optimized TaAlFe3 structure from Alexandria via LeMat-Bulk. Energies are from PBE-GGA.

Summary:
Its space group is No. 221. As for the excess energy over the best structure of this formula in the dataset: 0 meV/atom. As for the size of the total moment: 2.0 μB per formula unit.

a = 4.138 Å, b = 4.138 Å, c = 4.138 Å
α = 90.00°, β = 90.00°, γ = 90.00°
Positions (direct):
Ta (0.000, 0.000, 0.000)
Al (0.500, 0.500, 0.500)
Fe (0.000, 0.500, 0.500)
Fe (0.500, 0.000, 0.500)
Fe (0.500, 0.500, 0.000)



No. 16
Here is a geometry-optimized TaAlFe3 structure from Alexandria via LeMat-Bulk. Energies are from PBE-GGA.

Summary:
Its space group is No. 221. As for the excess energy over the best structure of this formula in the dataset: 484 meV/atom. As for the size of the total moment: 4.6 μB per formula unit.

a = 4.509 Å, b = 4.509 Å, c = 4.509 Å
α = 90.00°, β = 90.00°, γ = 90.00°
Positions (direct):
Ta (0.000, 0.000, 0.000)
Al (0.500, 0.500, 0.500)
Fe (0.000, 0.000, 0.500)
Fe (0.000, 0.500, 0.000)
Fe (0.500, 0.000, 0.000)



No. 17
Here is a geometry-optimized TaAl2Fe structure from Alexandria via LeMat-Bulk. Energies are from PBE-GGA.

Summary:
The value obtained for the total energy is -0.5090 Ry/atom. Its space group is No. 160. As for the size of the total moment: 0.9 μB per formula unit.

a = 8.852 Å, b = 8.852 Å, c = 8.852 Å
α = 18.54°, β = 18.54°, γ = 18.54°
Positions (direct):
Ta (0.000, 0.000, 0.000)
Al (0.514, 0.514, 0.514)
Al (0.758, 0.758, 0.758)
Fe (0.254, 0.254, 0.254)



No. 18
Here is a geometry-optimized TaAl2Fe structure from Alexandria via LeMat-Bulk. Energies are from PBE-GGA.

Summary:
The value obtained for the total energy is -0.5263 Ry/atom. Its space group is No. 123. As for the size of the total moment: 2.0 μB per formula unit.

a = 3.880 Å, b = 3.880 Å, c = 3.948 Å
α = 90.00°, β = 90.00°, γ = 90.00°
Positions (direct):
Ta (0.000, 0.000, 0.000)
Al (0.000, 0.500, 0.500)
Al (0.500, 0.000, 0.500)
Fe (0.500, 0.500, 0.000)



No. 19
Here is a geometry-optimized TaAl2Fe structure from Alexandria via LeMat-Bulk. Energies are from PBE-GGA.

Summary:
The value obtained for the total energy is -0.5317 Ry/atom. Its space group is No. 123. As for the size of the total moment: 0.4 μB per formula unit.

a = 2.888 Å, b = 2.888 Å, c = 6.806 Å
α = 90.00°, β = 90.00°, γ = 90.00°
Positions (direct):
Ta (0.000, 0.000, 0.000)
Al (0.500, 0.500, 0.299)
Al (0.500, 0.500, 0.701)
Fe (0.000, 0.000, 0.500)



No. 20
Here is a geometry-optimized TaAl2Fe structure from Alexandria via LeMat-Bulk. Energies are from PBE-GGA.

Summary:
The value obtained for the total energy is -0.5205 Ry/atom. Its space group is No. 12. As for the size of the total moment: 2.8 μB per formula unit.

a = 4.869 Å, b = 4.869 Å, c = 2.772 Å
α = 90.09°, β = 90.09°, γ = 110.28°
Positions (direct):
Ta (0.000, 0.000, 0.000)
Al (0.000, 0.500, 0.500)
Al (0.500, 0.000, 0.500)
Fe (0.500, 0.500, 0.000)



No. 21
Here is a geometry-optimized Ta2AlFe3 structure from Alexandria via LeMat-Bulk. Energies are from PBE-GGA.

Summary:
The value obtained for the total energy is -0.6705 Ry/atom. Its space group is No. 194. As for the size of the total moment: 4.4 μB per formula unit.

a = 4.873 Å, b = 4.873 Å, c = 7.954 Å
α = 90.00°, β = 90.00°, γ = 120.00°
Positions (direct):
Ta (0.333, 0.667, 0.064)
Ta (0.333, 0.667, 0.436)
Ta (0.667, 0.333, 0.564)
Ta (0.667, 0.333, 0.936)
Al (0.000, 0.000, 0.000)
Al (0.000, 0.000, 0.500)
Fe (0.172, 0.345, 0.750)
Fe (0.172, 0.828, 0.750)
Fe (0.345, 0.172, 0.250)
Fe (0.655, 0.828, 0.750)
Fe (0.828, 0.172, 0.250)
Fe (0.828, 0.655, 0.250)



No. 22
Here is a geometry-optimized TaAl2Fe structure from Alexandria via LeMat-Bulk. Energies are from PBE-GGA.

Summary:
The value obtained for the total energy is -0.5038 Ry/atom. Its space group is No. 225. As for the size of the total moment: 0.0 μB per formula unit.

a = 4.346 Å, b = 4.346 Å, c = 4.346 Å
α = 60.00°, β = 60.00°, γ = 60.00°
Positions (direct):
Ta (0.000, 0.000, 0.000)
Al (0.250, 0.250, 0.250)
Al (0.750, 0.750, 0.750)
Fe (0.500, 0.500, 0.500)



No. 23
Here is a geometry-optimized TaAl2Fe structure from Alexandria via LeMat-Bulk. Energies are from PBE-GGA.

Summary:
The value obtained for the total energy is -0.5280 Ry/atom. Its space group is No. 99. As for the size of the total moment: 0.0 μB per formula unit.

a = 2.991 Å, b = 2.991 Å, c = 6.447 Å
α = 90.00°, β = 90.00°, γ = 90.00°
Positions (direct):
Ta (0.000, 0.000, 0.000)
Al (0.000, 0.000, 0.553)
Al (0.500, 0.500, 0.282)
Fe (0.500, 0.500, 0.744)



No. 24
Here is a geometry-optimized TaAlFe4 structure from Alexandria via LeMat-Bulk. Energies are from PBE-GGA.

Summary:
The value obtained for the total energy is -0.6203 Ry/atom. Its space group is No. 164. As for the size of the total moment: 5.3 μB per formula unit.

a = 4.775 Å, b = 4.775 Å, c = 7.681 Å
α = 90.00°, β = 90.00°, γ = 120.00°
Positions (direct):
Ta (0.333, 0.667, 0.076)
Ta (0.667, 0.333, 0.924)
Al (0.333, 0.667, 0.445)
Al (0.667, 0.333, 0.555)
Fe (0.000, 0.000, 0.000)
Fe (0.000, 0.000, 0.500)
Fe (0.169, 0.338, 0.748)
Fe (0.169, 0.831, 0.748)
Fe (0.338, 0.169, 0.252)
Fe (0.662, 0.831, 0.748)
Fe (0.831, 0.169, 0.252)
Fe (0.831, 0.662, 0.252)



No. 25
Here is a geometry-optimized TaAl2Fe structure from Alexandria via LeMat-Bulk. Energies are from PBE-GGA.

Summary:
The value obtained for the total energy is -0.5148 Ry/atom. Its space group is No. 166. As for the size of the total moment: 2.5 μB per formula unit.

a = 8.999 Å, b = 8.999 Å, c = 8.999 Å
α = 18.15°, β = 18.15°, γ = 18.15°
Positions (direct):
Ta (0.000, 0.000, 0.000)
Al (0.243, 0.243, 0.243)
Al (0.757, 0.757, 0.757)
Fe (0.500, 0.500, 0.500)



No. 26
Here is a geometry-optimized TaAl4Fe structure from Alexandria via LeMat-Bulk. Energies are from PBE-GGA.

Summary:
The value obtained for the total energy is -0.4250 Ry/atom. Its space group is No. 216. As for the size of the total moment: 3.5 μB per formula unit.

a = 5.088 Å, b = 5.088 Å, c = 5.088 Å
α = 60.00°, β = 60.00°, γ = 60.00°
Positions (direct):
Ta (0.000, 0.000, 0.000)
Al (0.125, 0.625, 0.625)
Al (0.625, 0.125, 0.625)
Al (0.625, 0.625, 0.125)
Al (0.625, 0.625, 0.625)
Fe (0.250, 0.250, 0.250)



No. 27
Here is a geometry-optimized Ta2Al2VFe5 structure from Alexandria via LeMat-Bulk. Energies are from PBE-GGA.

Summary:
The value obtained for the total energy is -0.6104 Ry/atom. Its space group is No. 127. As for the size of the total moment: 1.0 μB per formula unit.

a = 9.201 Å, b = 9.201 Å, c = 3.068 Å
α = 90.00°, β = 90.00°, γ = 90.00°
Positions (direct):
Ta (0.171, 0.329, 0.000)
Ta (0.329, 0.829, 0.000)
Ta (0.671, 0.171, 0.000)
Ta (0.829, 0.671, 0.000)
Al (0.129, 0.629, 0.000)
Al (0.371, 0.129, 0.000)
Al (0.629, 0.871, 0.000)
Al (0.871, 0.371, 0.000)
V (0.000, 0.000, 0.000)
V (0.500, 0.500, 0.000)
Fe (0.000, 0.500, 0.500)
Fe (0.054, 0.802, 0.500)
Fe (0.198, 0.054, 0.500)
Fe (0.302, 0.554, 0.500)
Fe (0.446, 0.302, 0.500)
Fe (0.500, 0.000, 0.500)
Fe (0.554, 0.698, 0.500)
Fe (0.698, 0.446, 0.500)
Fe (0.802, 0.946, 0.500)
Fe (0.946, 0.198, 0.500)